Entry 1:
{"formula": "YSi2Au", "functional": "SCAN", "state": "single point on PBEsol structure", "cell": [[3.984, 0.000, 0.000], [0.000, 3.984, 0.000], [-1.992, -1.992, 4.702]], "species": ["Au", "Y", "Si", "Si"], "frac_coords": [[0.500, 0.500, 0.000], [0.000, 0.000, 0.000], [0.250, 0.750, 0.500], [0.750, 0.250, 0.500]], "formation_energy_uncorrected_ev_per_atom": -0.17, "magnetic_moment_mub_per_fu": 0.0, "dos_ef_per_ev_cell": 2.2, "sg": "I4/mmm", "crystal_system": "tetragonal", "energy_ha_per_atom": -1.081, "mass_density_g_cm3": 7.61}

***

Entry 2:
{"formula": "YSi2Au2", "functional": "SCAN", "state": "single point on PBEsol structure", "cell": [[4.209, 0.000, 0.000], [0.000, 4.209, 0.000], [-2.105, -2.105, 5.070]], "species": ["Si", "Y", "Au", "Au", "Si"], "frac_coords": [[0.613, 0.613, 0.225], [0.000, 0.000, 0.000], [0.250, 0.750, 0.500], [0.750, 0.250, 0.500], [0.387, 0.387, 0.775]], "formation_energy_uncorrected_ev_per_atom": -0.72, "magnetic_moment_mub_per_fu": 0.0, "dos_ef_per_ev_cell": 1.3, "sg": "I4/mmm", "crystal_system": "tetragonal", "energy_ha_per_atom": -1.395, "mass_density_g_cm3": 9.96}

***

Entry 3:
{"formula": "YSiAu2", "functional": "SCAN", "state": "single point on PBEsol structure", "cell": [[4.323, 0.000, 0.000], [0.000, 4.323, 0.000], [-2.161, -2.161, 4.024]], "species": ["Au", "Si", "Au", "Y"], "frac_coords": [[0.750, 0.250, 0.500], [0.500, 0.500, 0.000], [0.250, 0.750, 0.500], [0.000, 0.000, 0.000]], "formation_energy_uncorrected_ev_per_atom": -0.59, "magnetic_moment_mub_per_fu": 0.0, "dos_ef_per_ev_cell": 1.3, "sg": "I4/mmm", "crystal_system": "tetragonal", "energy_ha_per_atom": -1.640, "mass_density_g_cm3": 11.28}

***

Entry 4:
{"formula": "YSiAu2", "functional": "SCAN", "state": "single point on PBEsol structure", "cell": [[-2.900, -2.733, -2.528], [1.768, -3.380, -2.778], [-0.567, -4.540, 1.155]], "species": ["Au", "Au", "Y", "Si"], "frac_coords": [[0.000, 0.000, 0.000], [0.750, 0.750, 0.750], [0.250, 0.250, 0.250], [0.500, 0.500, 0.500]], "formation_energy_uncorrected_ev_per_atom": -0.47, "magnetic_moment_mub_per_fu": 0.0, "dos_ef_per_ev_cell": 1.4, "sg": "F-43m", "crystal_system": "cubic", "energy_ha_per_atom": -1.636, "mass_density_g_cm3": 11.42}

***

Entry 5:
{"formula": "YSi2Au", "functional": "SCAN", "state": "single point on PBEsol structure", "cell": [[3.389, 0.000, 0.000], [0.000, 3.389, 0.000], [0.000, 0.000, 6.285]], "species": ["Si", "Si", "Au", "Y"], "frac_coords": [[0.500, 0.500, 0.201], [0.000, 0.000, 0.014], [0.500, 0.500, 0.797], [0.000, 0.000, 0.488]], "formation_energy_uncorrected_ev_per_atom": -0.32, "magnetic_moment_mub_per_fu": 0.0, "dos_ef_per_ev_cell": 2.1, "sg": "P4mm", "crystal_system": "tetragonal", "energy_ha_per_atom": -1.087, "mass_density_g_cm3": 7.87}

***

Entry 6:
{"formula": "YSiAu", "functional": "SCAN", "state": "single point on PBEsol structure", "cell": [[-3.384, -0.230, 2.531], [1.823, -3.544, -1.424], [4.641, -0.102, 6.196]], "species": ["Au", "Au", "Y", "Y", "Si", "Si"], "frac_coords": [[0.333, 0.667, 0.250], [0.667, 0.333, 0.750], [0.000, 0.000, 0.500], [0.000, 0.000, 0.000], [0.333, 0.667, 0.750], [0.667, 0.333, 0.250]], "formation_energy_uncorrected_ev_per_atom": -1.05, "magnetic_moment_mub_per_fu": 0.0, "dos_ef_per_ev_cell": 1.9, "sg": "P6_3/mmc", "crystal_system": "hexagonal", "energy_ha_per_atom": -1.350, "mass_density_g_cm3": 8.68}